No. 1
LaTcTe2 | PBE | optimized geometry

Calculated values
E, eV/atom: -5.712
Formation energy from raw total energies, eV per atom: -0.3176
SG: Fm-3m (225)
Total magnetic moment, μB/cell: 2.00
Distance to the lowest polymorph of the same formula, eV per atom: 0.477

Geometry as POSCAR:
```
LaTcTe2
1.0
0.000 3.676 3.676
3.676 0.000 3.676
3.676 3.676 0.000
La Tc Te
1 1 2
Cartesian
0.000 0.000 0.000
3.676 3.676 3.676
1.838 1.838 1.838
5.514 5.514 5.514
```

No. 2
LiNbHg2W | PBE | optimized geometry

Calculated values
E, eV/atom: -4.130
Formation enthalpy at 0 K, kJ/mol of atoms: 94.4
SG: P4/mmm (123)
Total magnetic moment, μB/cell: 0.39

Geometry as POSCAR:
```
LiNbHg2W
1.0
5.406 0.000 0.000
0.000 5.406 0.000
0.000 0.000 4.710
Li Nb Hg W
1 1 2 1
Cartesian
0.000 0.000 0.000
2.703 2.703 0.000
0.000 2.703 2.355
2.703 0.000 2.355
2.703 2.703 2.355
```

No. 3
TaCrSi2 | PBE | optimized geometry

Calculated values
E, eV/atom: -8.005
Formation energy from raw total energies, eV per atom: 0.0754
SG: F-43m (216)
Total magnetic moment, μB/cell: 0.00

Geometry as POSCAR:
```
TaCrSi2
1.0
0.000 3.027 3.027
3.027 0.000 3.027
3.027 3.027 0.000
Ta Cr Si
1 1 2
Cartesian
0.000 0.000 0.000
1.513 1.513 1.513
3.027 3.027 3.027
4.540 4.540 4.540
```

No. 4
Li2CdOs | PBE | optimized geometry

Calculated values
E, eV/atom: -3.787
Formation enthalpy at 0 K, kJ/mol of atoms: 19.8
SG: P2/m (10)
Total magnetic moment, μB/cell: 0.00

Geometry as POSCAR:
```
Li2CdOs
1.0
2.659 0.000 0.000
0.000 4.591 0.000
-0.357 0.000 5.133
Li Cd Os
2 1 1
Cartesian
0.524 0.000 1.086
1.779 0.000 4.047
-0.178 2.295 2.567
1.330 2.295 0.000
```

No. 5
Nb16N13 | PBE | optimized geometry

Calculated values
E, eV/atom: -10.215
Formation energy from raw total energies, eV per atom: -0.9273
SG: Immm (71)
Total magnetic moment, μB/cell: 0.00

Geometry as POSCAR:
```
Nb16N13
1.0
-3.134 4.378 6.268
3.134 -4.378 6.268
3.134 4.378 -6.268
Nb N
16 13
Cartesian
3.134 2.282 -3.139
1.568 0.000 1.584
4.700 0.000 1.584
3.134 2.134 0.000
0.000 2.188 0.000
1.634 4.378 -1.630
1.500 0.000 4.638
0.000 2.096 3.129
3.134 2.282 3.139
1.634 4.378 1.630
1.500 0.000 7.898
0.000 6.569 0.000
0.000 2.245 6.268
-1.566 4.378 4.684
1.566 4.378 4.684
0.000 2.096 9.407
0.000 0.000 0.000
1.570 2.186 -1.573
4.698 2.186 -1.573
3.134 0.000 3.132
1.570 2.186 1.573
4.698 2.186 1.573
0.000 4.378 0.000
0.000 0.000 6.268
-1.564 2.193 4.695
1.564 2.193 4.695
0.000 4.378 3.136
-1.564 2.193 7.841
1.564 2.193 7.841
```

No. 6
NpTaTiRh | PBE | optimized geometry

Calculated values
E, eV/atom: -9.865
Formation enthalpy at 0 K, kJ/mol of atoms: 13.9
SG: F-43m (216)
Total magnetic moment, μB/cell: 4.01

Geometry as POSCAR:
```
NpTaTiRh
1.0
0.000 3.263 3.263
3.263 0.000 3.263
3.263 3.263 0.000
Np Ta Ti Rh
1 1 1 1
Cartesian
0.000 0.000 0.000
4.895 4.895 4.895
1.632 1.632 1.632
3.263 3.263 3.263
```